# 1
Here is crystalline Y2InPdC at its relaxed geometry from the Alexandria database. Energies are from GGA-PBE.

Unit cell a=4.9492 b=4.2017 c=4.9492 alpha=90.00 beta=90.00 gamma=90.00
Element x y z (fractional)
Y1 0.0000 0.0000 0.5000
Pd1 0.0000 0.5000 0.0000
In1 0.5000 0.5000 0.5000
C1 0.0000 0.0000 0.0000
Y2 0.5000 0.0000 0.0000

Size of the total moment = 0.00 μB/f.u.
DFT total energy = -6.394 eV/atom
Volume = 102.92 Å³/f.u.
Symmetry = No. 123
Theoretical density = 6.63 g/cm³

---

# 2
Here is crystalline ZnInPd2C at its relaxed geometry from the Alexandria database. Energies are from GGA-PBE.

Unit cell a=4.3959 b=3.8930 c=4.3959 alpha=90.00 beta=90.00 gamma=90.00
Element x y z (fractional)
Pd1 0.0000 0.0000 0.5000
In1 0.5000 0.5000 0.5000
Zn1 0.0000 0.5000 0.0000
Pd2 0.5000 0.0000 0.0000
C1 0.0000 0.0000 0.0000

Size of the total moment = 0.00 μB/f.u.
DFT total energy = -4.523 eV/atom
Volume = 75.23 Å³/f.u.
Symmetry = No. 123
Theoretical density = 8.94 g/cm³

---

# 3
Here is crystalline Pm8InC2 at its relaxed geometry from the Alexandria database. Energies are from GGA-PBE.

Unit cell a=5.1673 b=7.9282 c=7.9282 alpha=115.67 beta=94.97 gamma=94.97
Element x y z (fractional)
Pm1 0.2974 0.6078 0.6078
Pm2 0.7026 0.3922 0.3922
C1 0.0000 0.3169 0.6831
Pm3 0.5000 0.7408 0.2592
Pm4 0.0717 0.0828 0.3558
Pm5 0.5000 0.2592 0.7408
C2 0.0000 0.6831 0.3169
Pm6 0.9283 0.6442 0.9172
Pm7 0.9283 0.9172 0.6442
In1 0.5000 0.0000 0.0000
Pm8 0.0717 0.3558 0.0828

Size of the total moment = 0.00 μB/f.u.
DFT total energy = -5.303 eV/atom
Volume = 288.85 Å³/f.u.
Symmetry = No. 12
Theoretical density = 7.47 g/cm³

---

# 4
Here is crystalline Pm7InC2 at its relaxed geometry from the Alexandria database. Energies are from GGA-PBE.

Unit cell a=4.6360 b=4.6360 c=14.2694 alpha=80.65 beta=80.65 gamma=60.00
Element x y z (fractional)
In1 0.5000 0.5000 0.5000
Pm1 0.2897 0.2897 0.1308
C1 0.9349 0.9349 0.1953
Pm2 0.7103 0.7103 0.8692
C2 0.0651 0.0651 0.8047
Pm3 0.1285 0.1285 0.6144
Pm4 0.5848 0.5848 0.2456
Pm5 0.4152 0.4152 0.7544
Pm6 0.8715 0.8715 0.3856
Pm7 0.0000 0.0000 0.0000

Size of the total moment = 0.00 μB/f.u.
DFT total energy = -5.214 eV/atom
Volume = 260.88 Å³/f.u.
Symmetry = No. 166
Theoretical density = 7.34 g/cm³

---

# 5
Here is crystalline PmInC at its relaxed geometry from the Alexandria database. Energies are from GGA-PBE.

Unit cell a=3.7093 b=6.1517 c=10.7910 alpha=114.77 beta=42.69 gamma=91.80
Element x y z (fractional)
In1 0.8686 0.3838 0.9696
C1 0.2512 0.9431 0.8029
C2 0.4614 0.7077 0.6304
In2 0.8440 0.2671 0.4636
Pm1 0.3492 0.8549 0.9753
Pm2 0.3634 0.7959 0.4579

Size of the total moment = 0.00 μB/f.u.
DFT total energy = -5.650 eV/atom
Volume = 67.71 Å³/f.u.
Symmetry = No. 2
Theoretical density = 6.67 g/cm³

---

# 6
Here is crystalline Pm2InC at its relaxed geometry from the Alexandria database. Energies are from GGA-PBE.

Unit cell a=3.6899 b=3.6899 c=8.7285 alpha=77.80 beta=77.80 gamma=60.00
Element x y z (fractional)
In1 0.0000 0.0000 0.0000
Pm1 0.7775 0.7775 0.6676
Pm2 0.2225 0.2225 0.3324
C1 0.5000 0.5000 0.5000

Offset from the most stable computed form = 0.0 kJ per mole of atoms
Size of the total moment = 0.05 μB/f.u.
Volume = 99.81 Å³/f.u.
Symmetry = No. 166
Theoretical density = 6.93 g/cm³

---

# 7
Here is crystalline Pm8InC4 at its relaxed geometry from the Alexandria database. Energies are from GGA-PBE.

Unit cell a=7.8793 b=7.8793 c=7.8793 alpha=60.00 beta=60.00 gamma=60.00
Element x y z (fractional)
Pm1 0.1382 0.1382 0.5853
C1 0.3683 0.8951 0.3683
Pm2 0.1924 0.6025 0.6025
In1 0.7500 0.7500 0.7500
C2 0.8951 0.3683 0.3683
C3 0.3683 0.3683 0.8951
Pm3 0.1382 0.5853 0.1382
C4 0.3683 0.3683 0.3683
Pm4 0.1382 0.1382 0.1382
Pm5 0.5853 0.1382 0.1382
Pm6 0.6025 0.1924 0.6025
Pm7 0.6025 0.6025 0.6025
Pm8 0.6025 0.6025 0.1924

Size of the total moment = 0.63 μB/f.u.
DFT total energy = -5.978 eV/atom
Volume = 345.89 Å³/f.u.
Symmetry = No. 216
Theoretical density = 6.35 g/cm³

---

# 8
Here is crystalline Pm2InC at its relaxed geometry from the Alexandria database. Energies are from GGA-PBE.

Unit cell a=3.6625 b=3.6625 c=8.5113 alpha=90.00 beta=90.00 gamma=119.97
Element x y z (fractional)
Pm1 0.4663 0.5337 0.3276
C1 0.1330 0.8670 0.5000
In1 0.8005 0.1995 0.0000
Pm2 0.4663 0.5337 0.6724

Offset from the most stable computed form = 20.1 kJ per mole of atoms
Size of the total moment = 0.00 μB/f.u.
Volume = 98.90 Å³/f.u.
Symmetry = No. 38
Theoretical density = 7.00 g/cm³

---

- Look up the size of the total moment of the second one.
  0.00 μB/f.u.